# 1
A plane-wave DFT calculation with PBE-GGA was carried out for crystalline Li2HgBr4 at its relaxed geometry.

Computed properties:
Symmetry: I-42m (121)
Crystal system: tetragonal
Total magnetization: 0.00 μB/f.u.
Raw total energy: -2.61 eV per atom

Cell: 6.020 6.020 7.308 Å, 114.32 114.32 90.00°
Fractional positions:
Li: 0.250 0.750 0.500
Li: 0.750 0.250 0.500
Hg: 0.500 0.500 0.000
Br: 0.373 0.888 0.261
Br: 0.627 0.627 0.739
Br: 0.888 0.373 0.261
Br: 0.112 0.112 0.739


# 2
A plane-wave DFT calculation with PBE-GGA was carried out for crystalline LiHg2Br at its relaxed geometry.

Computed properties:
Symmetry: R3m (160)
Crystal system: trigonal
Total magnetization: 0.00 μB/f.u.
Raw total energy: -1.73 eV per atom

Cell: 9.298 9.298 9.298 Å, 25.77 25.77 25.77°
Fractional positions:
Hg: 0.998 0.998 0.998
Hg: 0.242 0.242 0.242
Br: 0.787 0.787 0.787
Li: 0.472 0.472 0.472


# 3
A plane-wave DFT calculation with PBE-GGA was carried out for crystalline LiHg2Br4 at its relaxed geometry.

Computed properties:
Symmetry: P-42m (111)
Crystal system: tetragonal
Total magnetization: 0.00 μB/f.u.
Raw total energy: -1.93 eV per atom

Cell: 6.878 6.878 4.990 Å, 90.00 90.00 90.00°
Fractional positions:
Li: 0.000 0.000 0.000
Hg: 0.500 0.000 0.500
Hg: 0.000 0.500 0.500
Br: 0.760 0.240 0.782
Br: 0.240 0.240 0.218
Br: 0.240 0.760 0.782
Br: 0.760 0.760 0.218


# 4
A plane-wave DFT calculation with PBE-GGA was carried out for crystalline LiHg2Br at its relaxed geometry.

Computed properties:
Symmetry: Fm-3m (225)
Crystal system: cubic
Total magnetization: 0.00 μB/f.u.
Raw total energy: -1.33 eV per atom

Cell: 5.501 5.501 5.501 Å, 60.00 60.00 60.00°
Fractional positions:
Hg: 0.250 0.250 0.250
Hg: 0.750 0.750 0.750
Br: 0.500 0.500 0.500
Li: 0.000 0.000 0.000


# 5
A plane-wave DFT calculation with PBE-GGA was carried out for crystalline LiHg2Br at its relaxed geometry.

Computed properties:
Symmetry: I-42d (122)
Crystal system: tetragonal
Total magnetization: 0.00 μB/f.u.
Raw total energy: -1.62 eV per atom

Cell: 10.872 10.872 8.056 Å, 47.56 47.56 90.00°
Fractional positions:
Hg: 0.524 0.125 0.250
Hg: 0.226 0.625 0.250
Hg: 0.375 0.476 0.750
Hg: 0.875 0.774 0.750
Br: 0.000 0.000 0.000
Br: 0.750 0.250 0.500
Li: 0.500 0.500 0.000
Li: 0.250 0.750 0.500


# 6
A plane-wave DFT calculation with PBE-GGA was carried out for crystalline LiHgBr3 at its relaxed geometry.

Computed properties:
Symmetry: Pm-3m (221)
Crystal system: cubic
Total magnetization: 0.00 μB/f.u.
Raw total energy: -1.99 eV per atom

Cell: 5.577 5.577 5.577 Å, 90.00 90.00 90.00°
Fractional positions:
Hg: 0.000 0.000 0.000
Br: 0.000 0.500 0.000
Br: 0.000 0.000 0.500
Br: 0.500 0.000 0.000
Li: 0.500 0.500 0.500


# 7
A plane-wave DFT calculation with PBE-GGA was carried out for crystalline LiHgBr3 at its relaxed geometry.

Computed properties:
Symmetry: C2/m (12)
Crystal system: monoclinic
Total magnetization: 0.00 μB/f.u.
Raw total energy: -2.30 eV per atom

Cell: 4.079 7.291 11.512 Å, 92.86 90.00 106.25°
Fractional positions:
Li: 0.661 0.322 0.905
Li: 0.339 0.678 0.095
Hg: 0.932 0.864 0.715
Hg: 0.068 0.136 0.285
Br: 0.363 0.726 0.586
Br: 0.637 0.274 0.414
Br: 0.847 0.695 0.924
Br: 0.153 0.305 0.076
Br: 0.118 0.237 0.761
Br: 0.882 0.763 0.239


# 8
A plane-wave DFT calculation with PBE-GGA was carried out for crystalline Li6HgBr8 at its relaxed geometry.

Computed properties:
Symmetry: Fm-3m (225)
Crystal system: cubic
Total magnetization: 0.00 μB/f.u.
Raw total energy: -2.97 eV per atom

Cell: 7.892 7.892 7.892 Å, 60.00 60.00 60.00°
Fractional positions:
Li: 0.000 0.500 0.500
Li: 0.500 0.000 0.000
Li: 0.500 0.500 0.000
Li: 0.000 0.000 0.500
Li: 0.000 0.500 0.000
Li: 0.500 0.000 0.500
Hg: 0.000 0.000 0.000
Br: 0.750 0.750 0.750
Br: 0.250 0.250 0.250
Br: 0.746 0.254 0.254
Br: 0.254 0.746 0.746
Br: 0.254 0.254 0.746
Br: 0.746 0.746 0.254
Br: 0.746 0.254 0.746
Br: 0.254 0.746 0.254